NdPbO3 after structural relaxation, computed with PBE.

abc: 6.561 6.737 7.605
angles: 93.98 90.00 90.00
Positions (direct):
O  0.580  0.006  0.166
O  0.420  0.994  0.834
O  0.914  0.777  0.968
O  0.657  0.449  0.871
O  0.920  0.006  0.666
O  0.343  0.551  0.129
O  0.414  0.223  0.532
O  0.157  0.551  0.629
O  0.086  0.223  0.032
O  0.586  0.777  0.468
O  0.843  0.449  0.371
O  0.080  0.994  0.334
Nd  0.681  0.643  0.168
Nd  0.181  0.357  0.332
Nd  0.819  0.643  0.668
Nd  0.319  0.357  0.832
Pb  0.224  0.894  0.071
Pb  0.776  0.106  0.929
Pb  0.276  0.894  0.571
Pb  0.724  0.106  0.429

Properties
- Formation energy without anion corrections: -986.6 kJ/mol of formula units
- VASP energy: -134.31 eV for the cell shown
- SG: No. 14
- Magnetic moment: 0.00 μB per cell


Sr2IrSe after structural relaxation, computed with PBE.

abc: 4.258 4.258 8.099
angles: 74.77 74.77 59.97
Each line ends with the local moment (μB).
Positions (direct):
Se  0.750  0.750  0.750  0.01
Sr  0.498  0.498  0.507  -0.01
Sr  0.002  0.002  0.993  -0.01
Ir  0.250  0.250  0.250  1.02

Properties
- Formation energy without anion corrections: -244.2 kJ/mol of formula units
- VASP energy: -18.24 eV for the cell shown
- SG: No. 166
- Magnetic moment: 1.02 μB per cell


ReIr2Cl after structural relaxation, computed with PBE.

abc: 2.791 2.791 8.705
angles: 90.00 90.00 90.00
Positions (direct):
Ir  0.500  0.500  0.279
Ir  0.000  0.000  0.056
Re  0.000  0.000  0.485
Cl  0.500  0.500  0.680

Properties
- Formation energy without anion corrections: 204.9 kJ/mol of formula units
- Energy relative to the lowest polymorph listed for this composition: 238.9 meV per atom
- VASP energy: -29.89 eV for the cell shown
- SG: No. 99
- Magnetic moment: 0.00 μB per cell


Tl2AgP2O6 after structural relaxation, computed with PBE.

abc: 5.970 5.970 6.827
angles: 64.07 64.07 60.00
Positions (direct):
Tl  0.221  0.221  0.336
Tl  0.779  0.779  0.664
O  0.271  0.707  0.752
O  0.271  0.271  0.752
O  0.729  0.293  0.248
O  0.729  0.729  0.248
O  0.293  0.729  0.248
O  0.707  0.271  0.752
P  0.434  0.434  0.699
P  0.566  0.566  0.301
Ag  0.000  0.000  0.000

Properties
- Formation energy without anion corrections: -1481.0 kJ/mol of formula units
- VASP energy: -63.50 eV for the cell shown
- SG: No. 166
- Magnetic moment: 0.00 μB per cell